DFT (PBE) results for a relaxed Sb2Pd4Au crystal.

a b c (Å): 7.2152 7.2152 8.4686
angles (deg): 90.00 90.00 143.56
With the nearest neighbours (Å) after each atom.
Atoms (fractional coordinates):
Sb  0.1115  0.8885  0.5636  7 Pd 2.66-2.80
Sb  0.1115  0.8885  0.9364  7 Pd 2.66-2.80
Sb  0.8885  0.1115  0.0636  7 Pd 2.66-2.80
Sb  0.8885  0.1115  0.4364  7 Pd 2.66-2.80
Pd  0.0569  0.9431  0.2500  4 Sb 2.76-2.80, 2 Au 2.81
Pd  0.2872  0.7128  0.0866  3 Sb 2.66-2.72, 3 Pd 2.77-2.88, 1 Au 2.89
Pd  0.2872  0.7128  0.4134  3 Sb 2.66-2.72, 3 Pd 2.77-2.88, 1 Au 2.89
Pd  0.5000  0.5000  0.0000  4 Sb 2.78, 2 Pd 3.01
Pd  0.5000  0.5000  0.5000  4 Sb 2.78, 2 Pd 3.01
Pd  0.7128  0.2872  0.5866  3 Sb 2.66-2.72, 3 Pd 2.77-2.88, 1 Au 2.89
Pd  0.7128  0.2872  0.9134  3 Sb 2.66-2.72, 3 Pd 2.77-2.88, 1 Au 2.89
Pd  0.9431  0.0569  0.7500  4 Sb 2.76-2.80, 2 Au 2.81
Au  0.3210  0.6790  0.7500  8 Pd 2.81-3.03
Au  0.6790  0.3210  0.2500  8 Pd 2.81-3.03

Results
Energy in eV per cell: -68.0
SG: No. 63